First-principles (PBE+U) data for a relaxed structure of Ba2SrFeO6, as listed in the Alexandria database.

a b c (Å): 8.5417 8.5417 8.5417
angles (deg): 90.00 90.00 90.00
Space group Fm-3m (No. 225)
Symmetry-distinct sites (fractional):
Ba 0.2500 0.2500 0.2500 (multiplicity 8)
Sr 0.0000 0.0000 0.0000 (multiplicity 4)
Fe 0.0000 0.0000 0.5000 (multiplicity 4)
O 0.0000 0.0000 0.2792 (multiplicity 24)

Calculated values
Calculated total energy ... -6.02 eV per atom